Record 1
Computed, not measured: MnTl5 after structural relaxation at the PBE level of DFT.

Cell: 6.138 6.138 5.973 Å, 90.00 90.00 120.00°
Fractional coordinates of all 6 atoms:
Mn (0.000, 0.000, 0.000)
Tl (0.333, 0.667, 0.000)
Tl (0.667, 0.333, 0.000)
Tl (0.500, 0.000, 0.500)
Tl (0.000, 0.500, 0.500)
Tl (0.500, 0.500, 0.500)

Calculated values
excess energy over the best structure of this formula in the dataset: 0.2796 eV per atom
magnetization: 4.78 μB per formula unit
DOS(E_F): 0.5772 states/eV per atom
SG: P6/mmm

Record 2
Computed, not measured: La2PuRh2 after structural relaxation at the PBE level of DFT.

Cell: 6.180 6.180 7.853 Å, 79.53 79.53 59.01°
Fractional coordinates of all 10 atoms:
La (0.474, 0.224, 0.150)
La (0.776, 0.526, 0.350)
La (0.526, 0.776, 0.850)
La (0.224, 0.474, 0.650)
Pu (0.123, 0.877, 0.250)
Pu (0.877, 0.123, 0.750)
Rh (0.730, 0.992, 0.507)
Rh (0.008, 0.270, 0.993)
Rh (0.270, 0.008, 0.493)
Rh (0.992, 0.730, 0.007)

Calculated values
magnetization: 5.91 μB per formula unit
total DFT energy (no corrections): -41.68 eV per formula unit
DOS(E_F): 1.7887 states/eV per atom
SG: C2/c

Record 3
Computed, not measured: NaCaSN2 after structural relaxation at the PBE level of DFT.

Cell: 4.370 4.370 5.190 Å, 90.00 90.00 90.00°
Fractional coordinates of all 5 atoms:
Na (0.000, 0.000, 0.000)
Ca (0.500, 0.500, 0.500)
S (0.000, 0.000, 0.500)
N (0.000, 0.500, 0.000)
N (0.500, 0.000, 0.000)

Calculated values
excess energy over the best structure of this formula in the dataset: 0.1222 eV per atom
magnetization: 5.00 μB per formula unit
DOS(E_F): 0.2711 states/eV per atom
SG: P4/mmm